Record 1
SrPrNdY: relaxed, PBE-GGA.

Computed properties:
Formation energy   0.8 eV/f.u.
Total moment   0.000 μB per atom
ρ   5.0 g/cm3

Cell: 8.4717 8.4717 8.4717 Å, 90.00 90.00 90.00°
Space group F-43m (No. 216)
Unique sites:
Sr1 0.0000 0.0000 0.0000
Pr1 0.2500 0.2500 0.7500
Nd1 0.2500 0.2500 0.2500
Y1 0.0000 0.0000 0.5000

***

Record 2
AcTiRh2O6: relaxed, PBE-GGA.

Computed properties:
E   -7.558 eV per atom
Total moment   0.104 μB per atom
ρ   7.5 g/cm3

Cell: 5.4510 5.4510 14.7914 Å, 90.00 90.00 120.00°
Space group R3 (No. 146, hexagonal axes)
Unique sites:
Ac1 0.0000 0.0000 0.0000
Ti1 0.0000 0.0000 0.5218
Rh1 0.0000 0.0000 0.2145
Rh2 0.0000 0.0000 0.7247
O1 0.9999 0.3297 0.1359
O2 0.1034 0.7354 0.2842

***

Record 3
Mg5Sc: relaxed, PBE-GGA.

Computed properties:
Formation energy   -0.1 eV/f.u.
Total moment   0.000 μB per atom
ρ   2.0 g/cm3

Cell: 4.3695 13.4784 4.6920 Å, 90.00 90.00 90.00°
Space group Cmmm (No. 65)
Unique sites:
Mg1 0.0000 0.0000 0.0000
Mg2 0.0000 0.1699 0.5000
Mg3 0.0000 0.3361 0.0000
Sc1 0.0000 0.5000 0.5000

***

Record 4
Pr2BeP2N6: relaxed, PBE-GGA.

Computed properties:
E   -7.390 eV per atom
Total moment   0.000 μB per atom
ρ   5.4 g/cm3

Cell: 5.4114 5.4114 15.7924 Å, 90.00 90.00 120.00°
Space group R-3m (No. 166, hexagonal axes)
Unique sites:
Pr1 0.0000 0.0000 0.2162
Be1 0.0000 0.0000 0.0000
P1 0.0000 0.0000 0.4146
N1 0.0037 0.5019 0.7473

***

Record 5
U3TaN4: relaxed, PBE-GGA.

Computed properties:
E   -11.156 eV per atom
Total moment   0.475 μB per atom
ρ   14.8 g/cm3

Cell: 5.8644 6.6786 5.7858 Å, 90.00 109.59 90.00°
Space group P2/c (No. 13)
Unique sites:
U1 0.0000 0.1192 0.2500
U2 0.0000 0.3725 0.7500
U3 0.5000 0.3714 0.2500
Ta1 0.5000 0.1276 0.7500
N1 0.2643 0.3616 0.5111
N2 0.2770 0.1144 0.0035

***

Record 6
LaGa2FeAg: relaxed, PBE-GGA.

Computed properties:
Formation energy   -0.9 eV/f.u.
Total moment   0.240 μB per atom
ρ   7.0 g/cm3

Cell: 4.5993 4.5993 4.9913 Å, 90.00 90.00 90.00°
Space group P4/mmm (No. 123)
Unique sites:
La1 0.0000 0.0000 0.0000
Ga1 0.0000 0.5000 0.5000
Fe1 0.5000 0.5000 0.5000
Ag1 0.5000 0.5000 0.0000

***

Record 7
IrRuO: relaxed, PBE-GGA.

Computed properties:
Total moment   0.000 μB per atom
ρ   12.4 g/cm3
Energy relative to the lowest polymorph listed for this composition   504.5 meV per atom

Cell: 7.3139 2.6812 4.6755 Å, 90.00 115.52 90.00°
Space group Cm (No. 8)
Unique sites:
Ir1 0.0000 0.0000 0.0000
Ru1 0.3897 0.0000 0.4848
O1 0.1094 0.0000 0.4703

***

Record 8
GaRu2S: relaxed, PBE-GGA.

Computed properties:
E   -6.320 eV per atom
Total moment   0.000 μB per atom
ρ   9.0 g/cm3

Cell: 6.0708 6.0708 6.0708 Å, 90.00 90.00 90.00°
Space group Fm-3m (No. 225)
Unique sites:
Ga1 0.0000 0.0000 0.0000
Ru1 0.2500 0.2500 0.2500
S1 0.0000 0.0000 0.5000

***

Record 9
LaIn2As2Pd7: relaxed, PBE-GGA.

Computed properties:
Formation energy   -5.3 eV/f.u.
Total moment   0.000 μB per atom
ρ   8.6 g/cm3

Cell: 5.7142 5.7426 14.9248 Å, 90.00 96.46 90.00°
Space group C2/m (No. 12)
Unique sites:
La1 0.0000 0.0000 0.0000
In1 0.1185 0.0000 0.4087
As1 0.0784 0.5000 0.2511
Pd1 0.0000 0.5000 0.0000
Pd2 0.1130 0.5000 0.4170
Pd3 0.2019 0.2508 0.8466

***

Record 10
Zn2SnN2: relaxed, PBE-GGA.

Computed properties:
E   -4.483 eV per atom
Total moment   0.000 μB per atom
ρ   5.6 g/cm3

Cell: 12.2358 3.3550 8.2996 Å, 90.00 106.68 90.00°
Space group C2/m (No. 12)
Unique sites:
Zn1 0.0362 0.0000 0.2300
Zn2 0.1498 0.5000 0.0227
Sn1 0.1704 0.5000 0.6417
N1 0.0523 0.5000 0.7849
N2 0.1779 0.0000 0.1554

***

Record 11
ScTa2BPb: relaxed, PBE-GGA.

Computed properties:
Formation energy   -0.2 eV/f.u.
Total moment   0.000 μB per atom
ρ   11.4 g/cm3

Cell: 4.4072 4.4072 4.6998 Å, 90.00 90.00 90.00°
Space group P4/mmm (No. 123)
Unique sites:
Sc1 0.0000 0.0000 0.0000
Ta1 0.0000 0.5000 0.5000
B1 0.0000 0.0000 0.5000
Pb1 0.5000 0.5000 0.0000

***

Record 12
La2TbScSe4: relaxed, PBE-GGA.

Computed properties:
E   -6.172 eV per atom
Total moment   0.000 μB per atom
ρ   6.5 g/cm3

Cell: 7.1274 4.0887 7.3331 Å, 90.00 108.72 90.00°
Space group P2/m (No. 10)
Unique sites:
La1 0.0000 0.0000 0.0000
La2 0.5000 0.5000 0.0000
Tb1 0.0000 0.5000 0.5000
Sc1 0.5000 0.0000 0.5000
Se1 0.2504 0.0000 0.7271
Se2 0.2676 0.5000 0.2782

***

Record 13
BTe2S: relaxed, PBE-GGA.

Computed properties:
Total moment   0.000 μB per atom
ρ   3.7 g/cm3
Energy relative to the lowest polymorph listed for this composition   265.0 meV per atom

Cell: 4.7673 4.7673 20.4579 Å, 90.00 90.00 120.00°
Space group R-3m (No. 166, hexagonal axes)
Unique sites:
B1 0.0000 0.0000 0.0000
Te1 0.0000 0.0000 0.0992
S1 0.0000 0.0000 0.5000